The following is a DFT calculation (GGA-PBE) of a relaxed RbCoNiTe3 crystal.

Results
- calculated total energy (eV/cell) = -49.4

Lattice parameters (Å, degrees): 8.3634 8.3634 10.2997 90.00 90.00 153.36
With the nearest neighbours (Å) after each atom.
Fractional coordinates of all 12 atoms:
Te: 0.6044 0.3956 0.4645  1 Ni 2.47, 2 Co 2.60
Te: 0.0603 0.9397 0.7500  2 Ni 2.49, 2 Co 2.76
Te: 0.3956 0.6044 0.9645  1 Ni 2.47, 2 Co 2.60
Te: 0.6044 0.3956 0.0355  1 Ni 2.47, 2 Co 2.60
Te: 0.3956 0.6044 0.5355  1 Ni 2.47, 2 Co 2.60
Te: 0.9397 0.0603 0.2500  2 Ni 2.49, 2 Co 2.76
Rb: 0.2423 0.7577 0.2500  8 Te 3.69-3.86, 2 Rb 3.85, 2 Ni 3.86
Rb: 0.7577 0.2423 0.7500  8 Te 3.69-3.86, 2 Rb 3.85, 2 Ni 3.86
Co: 0.0000 0.0000 0.0000  6 Te 2.60-2.76
Co: 0.0000 0.0000 0.5000  6 Te 2.60-2.76
Ni: 0.4635 0.5365 0.7500  4 Te 2.47-2.49
Ni: 0.5365 0.4635 0.2500  4 Te 2.47-2.49